1.
Density functional theory data (PBE) for HfSi3Pb after structural relaxation.

Summary:
The calculation puts the total magnetization at 0.00 μB/f.u. The calculation puts the uncorrected energy at -4.320 eV per atom.

extended XYZ file:
```
5
Lattice="5.089 0.000 0.000 0.000 5.089 0.000 0.000 0.000 5.089" Properties=species:S:1:pos:R:3 pbc="T T T"
Hf 0.000 0.000 0.000
Si 0.000 2.544 2.544
Si 2.544 0.000 2.544
Si 2.544 2.544 0.000
Pb 2.544 2.544 2.544
```

***

2.
Density functional theory data (PBE) for Hf2SiPb after structural relaxation.

Summary:
The calculation puts the total magnetization at 0.00 μB/f.u. The calculation puts the uncorrected energy at -7.522 eV per atom.

extended XYZ file:
```
12
Lattice="3.703 0.000 0.000 -1.851 3.207 0.000 0.000 0.000 22.424" Properties=species:S:1:pos:R:3 pbc="T T T"
Hf 0.000 0.000 5.220
Hf 0.000 0.000 17.204
Hf 0.000 2.138 9.730
Hf 0.000 2.138 20.169
Hf 1.851 1.069 2.255
Hf 1.851 1.069 12.694
Si 0.000 0.000 11.212
Si 0.000 2.138 3.737
Si 1.851 1.069 18.687
Pb 0.000 0.000 0.000
Pb 0.000 2.138 14.949
Pb 1.851 1.069 7.475
```

***

3.
Density functional theory data (PBE) for HfSi2Pb after structural relaxation.

Summary:
The calculation puts the total magnetization at 0.00 μB/f.u. The calculation puts the uncorrected energy at -5.569 eV per atom.

extended XYZ file:
```
16
Lattice="6.183 0.000 0.000 0.000 6.183 0.000 0.000 0.000 12.463" Properties=species:S:1:pos:R:3 pbc="T T T"
Hf 0.000 0.000 0.000
Hf 0.000 3.092 3.116
Hf 3.092 0.000 9.347
Hf 3.092 3.092 6.232
Si 1.467 1.546 1.558
Si 1.546 4.558 4.674
Si 1.546 4.716 10.905
Si 1.625 1.546 7.789
Si 4.558 4.637 7.789
Si 4.637 1.467 10.905
Si 4.637 1.625 4.674
Si 4.716 4.637 1.558
Pb 0.000 0.000 6.232
Pb 0.000 3.092 9.347
Pb 3.092 0.000 3.116
Pb 3.092 3.092 0.000
```